No. 1
# Be2VSi

Be2VSi after structural relaxation (PBE-GGA, the Alexandria database).

Cell lengths 3.5896, 3.5896, 11.5171 Å; angles 90.00, 90.00, 120.00 degrees
With the nearest neighbours (Å) after each atom.
Space group R-3m (No. 166, hexagonal axes)
Symmetry-distinct sites (fractional):
Be (0.0000, 0.0000, 0.2156) [6 per cell]  3 Si 2.15, 3 Be 2.36
V (0.0000, 0.0000, 0.0000) [3 per cell]  8 Be 2.48
Si (0.0000, 0.0000, 0.5000) [3 per cell]  6 Be 2.15

Properties
ΔE_f (raw) = 5.30 kJ/mol of atoms
DOS at the Fermi energy = 6.1 states/eV per cell
size of the total moment = 0.00 μB/cell


No. 2
# Be2SiW

Be2SiW after structural relaxation (PBE-GGA, the Alexandria database).

Cell lengths 3.4494, 3.4494, 7.8014 Å; angles 90.00, 90.00, 90.00 degrees
With the nearest neighbours (Å) after each atom.
Space group I4/mmm (No. 139)
Symmetry-distinct sites (fractional):
Be (0.0000, 0.5000, 0.2500) [4 per cell]  4 Be 2.44, 4 W 2.60, 4 Si 2.60
Si (0.0000, 0.0000, 0.0000) [2 per cell]  4 W 2.44, 8 Be 2.60
W (0.0000, 0.0000, 0.5000) [2 per cell]  4 Si 2.44, 8 Be 2.60

Properties
ΔE_f (raw) = 0.97 kJ/mol of atoms
DOS at the Fermi energy = 2.5 states/eV per cell
size of the total moment = 0.00 μB/cell


No. 3
# Be16SiW2

Be16SiW2 after structural relaxation (PBE-GGA, the Alexandria database).

Cell lengths 7.3834, 7.3834, 10.6445 Å; angles 90.00, 90.00, 120.00 degrees
With the nearest neighbours (Å) after each atom.
Space group R3m (No. 160, hexagonal axes)
Symmetry-distinct sites (fractional):
Be (0.0000, 0.0000, 0.0469) [3 per cell]  6 Be 2.18-2.31, 1 Si 2.22
Be (0.9998, 0.3077, 0.1547) [18 per cell]  8 Be 2.11-2.27
Be (0.0067, 0.5034, 0.6545) [9 per cell]  9 Be 2.11-2.20, 1 Si 2.28
Be (0.0080, 0.5040, 0.3102) [9 per cell]  9 Be 2.08-2.31
Be (0.1738, 0.3475, 0.3333) [9 per cell]  8 Be 2.08-2.23
Si (0.0000, 0.0000, 0.2555) [3 per cell]  7 Be 2.22-2.37
W (0.0000, 0.0000, 0.4978) [3 per cell]  15 Be 2.56-2.83, 1 Si 2.58
W (0.0000, 0.0000, 0.8128) [3 per cell]  13 Be 2.49-2.75

Properties
ΔE_f (raw) = -6.50 kJ/mol of atoms
DOS at the Fermi energy = 16.5 states/eV per cell
size of the total moment = 0.00 μB/cell


No. 4
# Be2SiW

Be2SiW after structural relaxation (PBE-GGA, the Alexandria database).

Cell lengths 6.3793, 6.3793, 4.8221 Å; angles 90.00, 90.00, 90.00 degrees
With the nearest neighbours (Å) after each atom.
Space group I-42d (No. 122)
Symmetry-distinct sites (fractional):
Be (0.2261, 0.2500, 0.1250) [8 per cell]  2 Si 2.23, 2 Be 2.43, 2 W 2.44
Si (0.0000, 0.0000, 0.0000) [4 per cell]  4 Be 2.23, 2 W 2.41
W (0.0000, 0.0000, 0.5000) [4 per cell]  2 Si 2.41, 4 Be 2.44

Properties
ΔE_f (raw) = 43.47 kJ/mol of atoms
DOS at the Fermi energy = 1.7 states/eV per cell
size of the total moment = 0.00 μB/cell


No. 5
# Be2SiW

Be2SiW after structural relaxation (PBE-GGA, the Alexandria database).

Cell lengths 3.4183, 3.9226, 7.3941 Å; angles 90.00, 90.00, 90.00 degrees
With the nearest neighbours (Å) after each atom.
Space group Cmmm (No. 65)
Symmetry-distinct sites (fractional):
Be (0.0000, 0.0000, 0.2489) [4 per cell]  4 Si 2.51-2.69, 4 W 2.52-2.70, 4 Be 2.60
Si (0.0000, 0.5000, 0.0000) [2 per cell]  8 Be 2.51-2.69, 4 Si 2.60
W (0.0000, 0.5000, 0.5000) [2 per cell]  8 Be 2.52-2.70, 4 W 2.60

Properties
ΔE_f (raw) = 33.29 kJ/mol of atoms
DOS at the Fermi energy = 4.3 states/eV per cell
size of the total moment = 0.00 μB/cell


No. 6
# Be2SiW

Be2SiW after structural relaxation (PBE-GGA, the Alexandria database).

Cell lengths 2.5815, 2.5815, 7.4544 Å; angles 90.00, 90.00, 90.00 degrees
With the nearest neighbours (Å) after each atom.
Space group P4/mmm (No. 123)
Symmetry-distinct sites (fractional):
Be (0.0000, 0.0000, 0.2494) [2 per cell]  4 Be 2.58, 4 W 2.61, 4 Si 2.61
Si (0.5000, 0.5000, 0.5000) [1 per cell]  4 Si 2.58, 8 Be 2.61
W (0.5000, 0.5000, 0.0000) [1 per cell]  4 W 2.58, 8 Be 2.61

Properties
ΔE_f (raw) = 34.52 kJ/mol of atoms
DOS at the Fermi energy = 2.6 states/eV per cell
size of the total moment = 0.00 μB/cell


No. 7
# BeSi3W

BeSi3W after structural relaxation (PBE-GGA, the Alexandria database).

Cell lengths 4.7682, 4.7682, 4.7682 Å; angles 90.00, 90.00, 90.00 degrees
With the nearest neighbours (Å) after each atom.
Space group Pm-3m (No. 221)
Symmetry-distinct sites (fractional):
Be (0.0000, 0.0000, 0.0000) [1 per cell]  12 Si 3.37
Si (0.0000, 0.5000, 0.5000) [3 per cell]  2 W 2.38
W (0.5000, 0.5000, 0.5000) [1 per cell]  6 Si 2.38

Properties
ΔE_f (raw) = 97.46 kJ/mol of atoms
DOS at the Fermi energy = 0.1 states/eV per cell
size of the total moment = 0.00 μB/cell


No. 8
# Be2SiW

Be2SiW after structural relaxation (PBE-GGA, the Alexandria database).

Cell lengths 2.7329, 2.7329, 23.3391 Å; angles 90.00, 90.00, 120.00 degrees
With the nearest neighbours (Å) after each atom.
Space group R3m (No. 160, hexagonal axes)
Symmetry-distinct sites (fractional):
Be (0.0000, 0.0000, 0.0000) [3 per cell]  3 Be 2.32
Be (0.0000, 0.0000, 0.2606) [3 per cell]  3 Be 2.32, 3 Si 2.44
Si (0.0000, 0.0000, 0.5142) [3 per cell]  3 Be 2.44, 3 W 2.67
W (0.0000, 0.0000, 0.7552) [3 per cell]  3 Be 2.60, 3 Si 2.67, 6 W 2.73

Properties
ΔE_f (raw) = 35.57 kJ/mol of atoms
DOS at the Fermi energy = 6.4 states/eV per cell
size of the total moment = 0.00 μB/cell


No. 9
# Be2SiW

Be2SiW after structural relaxation (PBE-GGA, the Alexandria database).

Cell lengths 2.7538, 3.3493, 5.0486 Å; angles 90.00, 90.00, 90.00 degrees
With the nearest neighbours (Å) after each atom.
Space group Pmmm (No. 47)
Symmetry-distinct sites (fractional):
Be (0.0000, 0.0000, 0.2372) [2 per cell]  2 Be 2.40-2.65, 4 Si 2.48, 4 W 2.54
Si (0.5000, 0.5000, 0.0000) [1 per cell]  8 Be 2.48, 2 W 2.52, 2 Si 2.75
W (0.5000, 0.5000, 0.5000) [1 per cell]  2 Si 2.52, 8 Be 2.54, 2 W 2.75

Properties
ΔE_f (raw) = 10.56 kJ/mol of atoms
DOS at the Fermi energy = 0.8 states/eV per cell
size of the total moment = 0.00 μB/cell


No. 10
# Be2SiW

Be2SiW after structural relaxation (PBE-GGA, the Alexandria database).

Cell lengths 2.5838, 2.5838, 7.3108 Å; angles 90.00, 90.00, 90.00 degrees
With the nearest neighbours (Å) after each atom.
Space group P4mm (No. 99)
Symmetry-distinct sites (fractional):
Be (0.0000, 0.0000, 0.0000) [1 per cell]  8 Be 2.31-2.58
Be (0.5000, 0.5000, 0.1929) [1 per cell]  8 Be 2.31-2.58
Si (0.0000, 0.0000, 0.4527) [1 per cell]  4 Si 2.58, 4 Be 2.64, 4 W 2.82
W (0.5000, 0.5000, 0.7457) [1 per cell]  4 W 2.58, 4 Be 2.61, 4 Si 2.82

Properties
ΔE_f (raw) = 38.44 kJ/mol of atoms
DOS at the Fermi energy = 2.5 states/eV per cell
size of the total moment = 0.00 μB/cell


No. 11
# BeSiW3

BeSiW3 after structural relaxation (PBE-GGA, the Alexandria database).

Cell lengths 4.2083, 4.2083, 4.2083 Å; angles 90.00, 90.00, 90.00 degrees
With the nearest neighbours (Å) after each atom.
Space group Pm-3m (No. 221)
Symmetry-distinct sites (fractional):
Be (0.0000, 0.0000, 0.0000) [1 per cell]  6 W 2.10
Si (0.5000, 0.5000, 0.5000) [1 per cell]  12 W 2.98
W (0.0000, 0.0000, 0.5000) [3 per cell]  2 Be 2.10

Properties
ΔE_f (raw) = 89.73 kJ/mol of atoms
DOS at the Fermi energy = 3.5 states/eV per cell
size of the total moment = 0.00 μB/cell


No. 12
# Be2SiW

Be2SiW after structural relaxation (PBE-GGA, the Alexandria database).

Cell lengths 3.1102, 3.1102, 4.9553 Å; angles 90.00, 90.00, 90.00 degrees
With the nearest neighbours (Å) after each atom.
Space group P4mm (No. 99)
Symmetry-distinct sites (fractional):
Be (0.0000, 0.0000, 0.0000) [1 per cell]  2 Si 2.34-2.62, 4 Be 2.46, 4 W 2.58
Be (0.5000, 0.5000, 0.2229) [1 per cell]  2 W 2.45-2.50, 4 Be 2.46, 4 Si 2.52
Si (0.0000, 0.0000, 0.4721) [1 per cell]  6 Be 2.34-2.62, 4 W 2.54
W (0.5000, 0.5000, 0.7283) [1 per cell]  6 Be 2.45-2.58, 4 Si 2.54

Properties
ΔE_f (raw) = 10.89 kJ/mol of atoms
DOS at the Fermi energy = 1.9 states/eV per cell
size of the total moment = 0.00 μB/cell


No. 13
# BeSi3W

BeSi3W after structural relaxation (PBE-GGA, the Alexandria database).

Cell lengths 4.1606, 4.1606, 4.1606 Å; angles 90.00, 90.00, 90.00 degrees
With the nearest neighbours (Å) after each atom.
Space group Pm-3m (No. 221)
Symmetry-distinct sites (fractional):
Be (0.0000, 0.0000, 0.0000) [1 per cell]  6 Si 2.08
Si (0.0000, 0.0000, 0.5000) [3 per cell]  2 Be 2.08
W (0.5000, 0.5000, 0.5000) [1 per cell]  12 Si 2.94

Properties
ΔE_f (raw) = 111.20 kJ/mol of atoms
DOS at the Fermi energy = 4.1 states/eV per cell
size of the total moment = 0.57 μB/cell